The following is a PBE calculation of a relaxed structure of Gd3Tl4Sn3, from the Open Quantum Materials Database.

It has space group Cmmm (No. 65), with a = 4.749 Å, b = 24.265 Å, c = 4.668 Å, α = 90.00°, β = 90.00° and γ = 90.00°. Symmetry generates all atoms from Gd at (0.000, 0.000, 0.000), Gd at (0.000, 0.189, 0.000), Tl at (0.000, 0.294, 0.500), Tl at (0.000, 0.400, 0.000), Sn at (0.000, 0.097, 0.500) and Sn at (0.000, 0.500, 0.500).

For the magnetic moment, the calculation gives 0.014 μB per cell. The calculation puts the excess energy over the best structure of this formula in the dataset at 0.49 eV per formula unit. The total DFT energy (no corrections) comes out at -3.9217 eV per atom.